Here is crystalline Be3Ru at its relaxed geometry from Alexandria via LeMat-Bulk. Energies are from PBE.

Calculated values
For the spin magnetization, the calculation gives 0.0 Bohr magnetons per cell. Its formation energy from the elements is -1.336 eV per formula unit. The density of states at the Fermi level is 0.285 states/eV per atom. The value obtained for the total energy is -43.58 eV per cell.

a = 4.791 Å, b = 4.791 Å, c = 3.781 Å
α = 90.00°, β = 90.00°, γ = 120.00°
Positions (direct):
Be  0.161  0.323  0.250
Be  0.161  0.839  0.250
Be  0.323  0.161  0.750
Be  0.677  0.839  0.250
Be  0.839  0.161  0.750
Be  0.839  0.677  0.750
Ru  0.333  0.667  0.750
Ru  0.667  0.333  0.250